The following is a DFT calculation (PBE-GGA) of crystalline PmPdRh at its relaxed geometry.

Values from the calculation:
Crystal system: tetragonal
Excess energy over the best structure of this formula in the dataset in meV per atom: 368
Magnetization in μB per cell: 0.00
Energy of formation from the pure elements in meV per atom: -328
Space-group type: No. 139

a = 3.659 Å, b = 3.659 Å, c = 10.043 Å
α = 100.50°, β = 100.50°, γ = 90.00°
Fractional coordinates of all 6 atoms:
1 Pm 0.633 0.633 0.266
2 Pm 0.367 0.367 0.734
3 Rh 0.222 0.222 0.444
4 Rh 0.778 0.778 0.556
5 Pd 0.066 0.066 0.133
6 Pd 0.934 0.934 0.867

=====

The following is a DFT calculation (PBE-GGA) of crystalline Pm2YGe6 at its relaxed geometry.

Values from the calculation:
Crystal system: monoclinic
Magnetization in μB per cell: 0.00
Energy of formation from the pure elements in meV per atom: -442
Space-group type: No. 8

a = 4.014 Å, b = 8.187 Å, c = 8.187 Å
α = 57.82°, β = 75.63°, γ = 75.63°
Fractional coordinates of all 9 atoms:
1 Y 0.071 0.929 0.929
2 Ge 0.492 0.268 0.748
3 Ge 0.684 0.046 0.583
4 Ge 0.298 0.417 0.989
5 Ge 0.684 0.583 0.046
6 Ge 0.492 0.748 0.268
7 Ge 0.298 0.989 0.417
8 Pm 0.112 0.386 0.386
9 Pm 0.869 0.633 0.633

=====

The following is a DFT calculation (PBE-GGA) of crystalline Tl3Ge2Br8 at its relaxed geometry.

Values from the calculation:
Crystal system: trigonal
Magnetization in μB per cell: 0.00
Space-group type: No. 166
VASP energy in Ry per atom: -0.2133

a = 8.043 Å, b = 8.043 Å, c = 10.130 Å
α = 66.61°, β = 66.61°, γ = 60.00°
Fractional coordinates of all 13 atoms:
1 Br 0.315 0.315 0.054
2 Br 0.745 0.745 0.305
3 Br 0.255 0.794 0.695
4 Br 0.206 0.745 0.305
5 Br 0.745 0.206 0.305
6 Br 0.255 0.255 0.695
7 Br 0.685 0.685 0.946
8 Br 0.794 0.255 0.695
9 Tl 0.804 0.804 0.588
10 Tl 0.000 0.000 0.000
11 Tl 0.196 0.196 0.412
12 Ge 0.408 0.408 0.776
13 Ge 0.592 0.592 0.224

=====

The following is a DFT calculation (PBE-GGA) of crystalline Dy2ScW at its relaxed geometry.

Values from the calculation:
Crystal system: trigonal
Magnetization in μB per cell: 0.00
Energy of formation from the pure elements in meV per atom: 770
Space-group type: No. 166

a = 3.157 Å, b = 3.157 Å, c = 11.370 Å
α = 82.02°, β = 82.02°, γ = 60.00°
Fractional coordinates of all 4 atoms:
1 Dy 0.916 0.916 0.252
2 Dy 0.084 0.084 0.748
3 W 0.000 0.000 0.000
4 Sc 0.500 0.500 0.500

=====

The following is a DFT calculation (PBE-GGA) of crystalline FeIr5 at its relaxed geometry.

Values from the calculation:
Crystal system: monoclinic
Magnetization in μB per cell: 3.01
Energy of formation from the pure elements in meV per atom: -21
Space-group type: No. 10

a = 2.727 Å, b = 4.701 Å, c = 8.107 Å
α = 124.94°, β = 90.00°, γ = 90.00°
Fractional coordinates of all 6 atoms:
1 Ir 0.500 0.500 0.000
2 Ir 0.000 0.337 0.670
3 Ir 0.000 0.663 0.330
4 Ir 0.500 0.837 0.673
5 Ir 0.500 0.163 0.327
6 Fe 0.000 0.000 0.000

=====

The following is a DFT calculation (PBE-GGA) of crystalline CaSbAu2 at its relaxed geometry.

Values from the calculation:
Crystal system: orthorhombic
Magnetization in μB per cell: 0.00
Space-group type: No. 25
VASP energy in Ry per atom: -0.2612

a = 3.856 Å, b = 4.149 Å, c = 6.162 Å
α = 90.00°, β = 90.00°, γ = 90.00°
Fractional coordinates of all 4 atoms:
1 Sb 0.500 0.500 0.829
2 Ca 0.000 0.000 0.455
3 Au 0.500 0.500 0.282
4 Au 0.000 0.000 0.934

=====

The following is a DFT calculation (PBE-GGA) of crystalline Rb2Pu2HfTe6 at its relaxed geometry.

Values from the calculation:
Crystal system: monoclinic
Magnetization in μB per cell: 10.00
Space-group type: No. 12
VASP energy in Ry per atom: -0.4713

a = 7.597 Å, b = 7.597 Å, c = 9.146 Å
α = 98.41°, β = 98.41°, γ = 119.66°
Fractional coordinates of all 11 atoms:
1 Pu 0.668 0.332 0.500
2 Pu 0.332 0.668 0.500
3 Te 0.753 0.753 0.693
4 Te 0.247 0.247 0.307
5 Te 0.071 0.383 0.695
6 Te 0.929 0.617 0.305
7 Te 0.617 0.929 0.305
8 Te 0.383 0.071 0.695
9 Hf 0.000 0.000 0.500
10 Rb 0.828 0.172 0.000
11 Rb 0.172 0.828 0.000

=====

The following is a DFT calculation (PBE-GGA) of crystalline TlSnP2S8 at its relaxed geometry.

Values from the calculation:
Crystal system: trigonal
Magnetization in μB per cell: 0.97
Space-group type: No. 148
VASP energy in Ry per atom: -0.3178

a = 6.021 Å, b = 6.021 Å, c = 9.955 Å
α = 72.40°, β = 72.40°, γ = 60.00°
Fractional coordinates of all 12 atoms:
1 S 0.703 0.063 0.831
2 S 0.063 0.404 0.831
3 S 0.184 0.184 0.447
4 S 0.937 0.596 0.169
5 S 0.596 0.297 0.169
6 S 0.404 0.703 0.831
7 S 0.816 0.816 0.553
8 S 0.297 0.937 0.169
9 P 0.744 0.744 0.769
10 P 0.256 0.256 0.231
11 Sn 0.000 0.000 0.000
12 Tl 0.500 0.500 0.500

=====

The following is a DFT calculation (PBE-GGA) of crystalline SrCd2As at its relaxed geometry.

Values from the calculation:
Crystal system: tetragonal
Magnetization in μB per cell: 0.00
Energy of formation from the pure elements in meV per atom: -304
Space-group type: No. 99

a = 3.856 Å, b = 3.856 Å, c = 7.136 Å
α = 90.00°, β = 90.00°, γ = 90.00°
Fractional coordinates of all 4 atoms:
1 Cd 0.000 0.000 0.985
2 Cd 0.500 0.500 0.198
3 Sr 0.000 0.000 0.525
4 As 0.500 0.500 0.791

=====

The following is a DFT calculation (PBE-GGA) of crystalline VZn2CrCd at its relaxed geometry.

Values from the calculation:
Crystal system: tetragonal
Excess energy over the best structure of this formula in the dataset in meV per atom: 875
Magnetization in μB per cell: 3.07
Energy of formation from the pure elements in meV per atom: 1726
Space-group type: No. 123

a = 4.723 Å, b = 5.042 Å, c = 4.723 Å
α = 90.00°, β = 90.00°, γ = 90.00°
Fractional coordinates of all 5 atoms:
1 V 0.000 0.500 0.000
2 Cr 0.500 0.500 0.500
3 Zn 0.000 0.000 0.500
4 Zn 0.500 0.000 0.000
5 Cd 0.000 0.000 0.000

=====

The following is a DFT calculation (PBE-GGA) of crystalline TlFe2As at its relaxed geometry.

Values from the calculation:
Crystal system: tetragonal
Excess energy over the best structure of this formula in the dataset in meV per atom: 336
Magnetization in μB per cell: 4.62
Energy of formation from the pure elements in meV per atom: 532
Space-group type: No. 123

a = 4.472 Å, b = 4.469 Å, c = 3.208 Å
α = 90.00°, β = 90.00°, γ = 90.00°
Fractional coordinates of all 4 atoms:
1 Fe 0.000 0.000 0.000
2 Fe 0.500 0.500 0.000
3 As 0.000 0.500 0.500
4 Tl 0.500 0.000 0.500

=====

The following is a DFT calculation (PBE-GGA) of crystalline GaTcSn at its relaxed geometry.

Values from the calculation:
Crystal system: triclinic
Excess energy over the best structure of this formula in the dataset in meV per atom: 182
Magnetization in μB per cell: 0.00
Energy of formation from the pure elements in meV per atom: 82
Space-group type: No. 2

a = 4.515 Å, b = 4.533 Å, c = 6.914 Å
α = 103.73°, β = 95.67°, γ = 119.45°
Fractional coordinates of all 6 atoms:
1 Tc 0.525 0.656 0.175
2 Tc 0.475 0.344 0.825
3 Sn 0.270 0.099 0.364
4 Sn 0.730 0.901 0.636
5 Ga 0.844 0.291 0.132
6 Ga 0.156 0.709 0.868